The following is a PBE calculation of a relaxed BaPSe2 crystal, from the Alexandria database. Values from VASP.

Computed properties:
**DFT total energy**: -3.80 eV per atom
**Energy above the most stable polymorph in this dataset**: 2.73 eV per formula unit
**Magnetic moment**: 0.000 μB per cell
**ΔE_f (raw)**: -0.226 eV/atom

```
&SYSTEM
  ibrav = 0, nat = 4, ntyp = 3
/
ATOMIC_SPECIES
Ba 137.33 Ba.upf
P 30.97 P.upf
Se 78.96 Se.upf
CELL_PARAMETERS angstrom
-3.6794 -1.6394 4.3923
-2.1718 4.4553 3.3094
0.4444 -1.1461 -5.8315
ATOMIC_POSITIONS crystal
Ba 0.5000 0.5000 0.0000
P 0.0000 0.0000 0.0000
Se 0.7500 0.2500 0.5000
Se 0.2500 0.7500 0.5000
```